1.
Below is a relaxed structure of EuZnN2, with properties calculated at the PBE level.

E_form (uncorrected)	-81	meV/atom
symmetry	R-3m, No. 166

abc: 6.258 6.258 6.258
angles: 34.40 34.40 34.40
Element x y z (fractional)
Eu  0.000  0.000  0.000
Zn  0.500  0.500  0.500
N  0.396  0.396  0.396
N  0.604  0.604  0.604

2.
Below is a relaxed structure of Ca2MoAu, with properties calculated at the PBE level.

ΔH_f (0 K)	2.194	eV/f.u.
symmetry	I-42d, No. 122
ΔE to the lowest computed polymorph	0.349	eV/atom

abc: 6.542 6.542 6.542
angles: 102.83 102.83 123.78
Element x y z (fractional)
Ca  0.101  0.625  0.976
Ca  0.375  0.351  0.476
Ca  0.649  0.125  0.024
Ca  0.875  0.899  0.524
Mo  0.250  0.750  0.500
Mo  0.500  0.500  0.000
Au  0.000  0.000  0.000
Au  0.750  0.250  0.500